# 1
Below is a relaxed AcCeSb crystal, with properties calculated at the GGA-PBE level.

a b c (Å): 4.347 5.313 5.313
angles (deg): 120.00 90.00 90.00
Each line ends with the local moment (μB).
Fractional positions:
1 Ac 0.019 0.000 0.000  0.07
2 Sb 0.445 0.333 0.667  0.00
3 Ce 0.536 0.667 0.333  0.96

Properties
- total magnetic moment (μB/cell) = 1.4
- energy relative to the elements, uncorrected (eV per atom) = -0.36
- density of states at the Fermi level (states/eV/atom) = 2.72
- mass density (g/cm3) = 7.6

***

# 2
Below is a relaxed La2Si3Ni12Pt crystal, with properties calculated at the GGA-PBE level.

a b c (Å): 7.176 7.176 7.176
angles (deg): 64.91 64.91 64.91
Fractional positions:
1 Ni 0.357 0.357 0.916
2 Ni 0.384 0.862 0.862
3 Ni 0.138 0.616 0.138
4 Ni 0.916 0.357 0.357
5 Ni 0.084 0.643 0.643
6 Ni 0.616 0.138 0.138
7 Ni 0.643 0.643 0.084
8 Ni 0.862 0.384 0.862
9 Ni 0.643 0.084 0.643
10 Ni 0.138 0.138 0.616
11 Ni 0.357 0.916 0.357
12 Ni 0.862 0.862 0.384
13 Si 0.000 0.000 0.500
14 Si 0.000 0.500 0.000
15 Si 0.500 0.000 0.000
16 Pt 0.000 0.000 0.000
17 La 0.611 0.611 0.611
18 La 0.389 0.389 0.389

Properties
- total magnetic moment (μB/cell) = 0.0
- energy relative to the elements, uncorrected (eV per atom) = 0.07
- density of states at the Fermi level (states/eV/atom) = 0.55
- mass density (g/cm3) = 7.2

***

# 3
Below is a relaxed Ti3PtPb crystal, with properties calculated at the GGA-PBE level.

a b c (Å): 4.998 4.998 4.998
angles (deg): 90.00 90.00 90.00
Fractional positions:
1 Pt 0.500 0.500 0.500
2 Ti 0.000 0.500 0.000
3 Ti 0.500 0.000 0.000
4 Ti 0.000 0.000 0.500
5 Pb 0.000 0.000 0.000

Properties
- total magnetic moment (μB/cell) = 0.0
- density of states at the Fermi level (states/eV/atom) = 1.60
- ΔE_f (kJ/mol of atoms) = 132
- mass density (g/cm3) = 7.3

***

# 4
Below is a relaxed TbPm2Pr2Tm crystal, with properties calculated at the GGA-PBE level.

a b c (Å): 5.727 7.098 9.917
angles (deg): 90.00 90.00 90.00
Fractional positions:
1 Tb 0.500 0.758 0.342
2 Tb 0.500 0.258 0.658
3 Pr 0.500 0.508 0.000
4 Pr 0.000 0.758 0.822
5 Pr 0.000 0.258 0.178
6 Pr 0.500 0.008 0.000
7 Pm 0.500 0.258 0.332
8 Pm 0.000 0.258 0.836
9 Pm 0.000 0.758 0.164
10 Pm 0.500 0.758 0.668
11 Tm 0.000 0.508 0.500
12 Tm 0.000 0.008 0.500

Properties
- total magnetic moment (μB/cell) = 0.0
- density of states at the Fermi level (states/eV/atom) = 1.52
- ΔE_f (kJ/mol of atoms) = 6
- mass density (g/cm3) = 7.4

***

# 5
Below is a relaxed Na2LaTi crystal, with properties calculated at the GGA-PBE level.

a b c (Å): 4.306 4.306 13.246
angles (deg): 80.64 80.64 90.00
Fractional positions:
1 La 0.750 0.250 0.500
2 La 0.000 0.000 0.000
3 Na 0.375 0.394 0.750
4 Na 0.875 0.856 0.750
5 Na 0.144 0.625 0.250
6 Na 0.606 0.125 0.250
7 Ti 0.500 0.500 0.000
8 Ti 0.250 0.750 0.500

Properties
- total magnetic moment (μB/cell) = 0.0
- density of states at the Fermi level (states/eV/atom) = 1.83
- ΔE_f (kJ/mol of atoms) = 63
- mass density (g/cm3) = 3.2

***

# 6
Below is a relaxed CeZnGeO crystal, with properties calculated at the GGA-PBE level.

a b c (Å): 4.016 4.016 8.659
angles (deg): 90.00 90.00 90.00
Each line ends with the local moment (μB).
Fractional positions:
1 Ge 0.000 0.500 0.313  -0.02
2 Ge 0.500 0.000 0.687  -0.02
3 Zn 0.500 0.500 0.500  -0.01
4 Zn 0.000 0.000 0.500  -0.01
5 Ce 0.000 0.500 0.859  0.31
6 Ce 0.500 0.000 0.141  0.31
7 O 0.000 0.000 0.000  -0.02
8 O 0.500 0.500 0.000  -0.02

Properties
- total magnetic moment (μB/cell) = 0.5
- energy relative to the elements, uncorrected (eV per atom) = -1.63
- density of states at the Fermi level (states/eV/atom) = 0.69
- mass density (g/cm3) = 7.0

***

# 7
Below is a relaxed Cs2RbICl crystal, with properties calculated at the GGA-PBE level.

a b c (Å): 6.932 6.932 6.422
angles (deg): 90.00 90.00 90.00
Fractional positions:
1 Cl 0.000 0.000 0.000
2 Cs 0.500 0.000 0.000
3 Cs 0.000 0.500 0.000
4 Rb 0.000 0.000 0.500
5 I 0.500 0.500 0.500

Properties
- total magnetic moment (μB/cell) = 0.0
- energy relative to the elements, uncorrected (eV per atom) = -1.21
- density of states at the Fermi level (states/eV/atom) = 0.33
- mass density (g/cm3) = 2.8

***

# 8
Below is a relaxed CsTh2Te3 crystal, with properties calculated at the GGA-PBE level.

a b c (Å): 8.486 8.064 8.064
angles (deg): 120.01 90.00 90.00
Fractional positions:
1 Te 0.750 0.018 0.500
2 Te 0.250 0.018 0.018
3 Te 0.250 0.982 0.500
4 Te 0.250 0.500 0.982
5 Te 0.750 0.500 0.018
6 Te 0.750 0.982 0.982
7 Th 0.000 0.833 0.167
8 Th 0.500 0.833 0.167
9 Th 0.500 0.167 0.833
10 Th 0.000 0.167 0.833
11 Cs 0.750 0.500 0.500
12 Cs 0.250 0.500 0.500

Properties
- total magnetic moment (μB/cell) = 0.0
- energy relative to the elements, uncorrected (eV per atom) = -0.96
- density of states at the Fermi level (states/eV/atom) = 0.83
- mass density (g/cm3) = 6.8

***

# 9
Below is a relaxed Sm4TlHgSe2 crystal, with properties calculated at the GGA-PBE level.

a b c (Å): 4.099 7.121 8.117
angles (deg): 106.96 90.00 90.00
Fractional positions:
1 Se 0.000 0.500 0.500
2 Se 0.500 0.000 0.500
3 Hg 0.000 0.000 0.000
4 Sm 0.500 0.744 0.726
5 Sm 0.000 0.759 0.275
6 Sm 0.500 0.256 0.274
7 Sm 0.000 0.241 0.725
8 Tl 0.500 0.500 0.000

Properties
- total magnetic moment (μB/cell) = 0.0
- energy relative to the elements, uncorrected (eV per atom) = -1.10
- density of states at the Fermi level (states/eV/atom) = 0.55
- mass density (g/cm3) = 8.5

***

# 10
Below is a relaxed SiP2Se crystal, with properties calculated at the GGA-PBE level.

a b c (Å): 7.158 7.158 7.158
angles (deg): 152.28 152.28 39.60
Fractional positions:
1 Se 0.250 0.750 0.500
2 P 0.500 0.500 0.000
3 P 0.000 0.000 0.000
4 Si 0.750 0.250 0.500

Properties
- total magnetic moment (μB/cell) = 0.0
- energy relative to the elements, uncorrected (eV per atom) = 0.55
- density of states at the Fermi level (states/eV/atom) = 0.49
- mass density (g/cm3) = 3.5

***

# 11
Below is a relaxed Pr4SmDy7 crystal, with properties calculated at the GGA-PBE level.

a b c (Å): 5.956 11.782 6.774
angles (deg): 83.47 63.92 75.36
Fractional positions:
1 Dy 0.368 0.495 0.769
2 Dy 0.500 0.000 0.000
3 Dy 0.632 0.505 0.231
4 Dy 0.931 0.314 0.825
5 Dy 0.069 0.686 0.175
6 Dy 0.789 0.923 0.499
7 Dy 0.211 0.077 0.501
8 Pr 0.777 0.667 0.780
9 Pr 0.223 0.333 0.220
10 Pr 0.363 0.777 0.497
11 Pr 0.637 0.223 0.503
12 Sm 0.000 0.000 0.000

Properties
- total magnetic moment (μB/cell) = 0.0
- density of states at the Fermi level (states/eV/atom) = 1.65
- ΔE_f (kJ/mol of atoms) = 24
- mass density (g/cm3) = 7.4

***

# 12
Below is a relaxed NaSrGa2Rh crystal, with properties calculated at the GGA-PBE level.

a b c (Å): 4.914 4.914 5.623
angles (deg): 90.00 90.00 90.00
Fractional positions:
1 Ga 0.500 0.000 0.000
2 Ga 0.000 0.500 0.000
3 Na 0.500 0.500 0.500
4 Rh 0.000 0.000 0.000
5 Sr 0.000 0.000 0.500

Properties
- total magnetic moment (μB/cell) = 0.0
- density of states at the Fermi level (states/eV/atom) = 0.45
- ΔE_f (kJ/mol of atoms) = -25
- mass density (g/cm3) = 4.3

***

# 13
Below is a relaxed GeRhSN2 crystal, with properties calculated at the GGA-PBE level.

a b c (Å): 3.833 3.833 5.117
angles (deg): 90.00 90.00 90.00
Each line ends with the local moment (μB).
Fractional positions:
1 N 0.000 0.500 0.000  0.14
2 N 0.500 0.000 0.000  0.14
3 Ge 0.500 0.500 0.500  -0.01
4 Rh 0.000 0.000 0.000  -0.02
5 S 0.000 0.000 0.500  0.00

Properties
- total magnetic moment (μB/cell) = 0.3
- energy relative to the elements, uncorrected (eV per atom) = 1.00
- density of states at the Fermi level (states/eV/atom) = 0.45
- mass density (g/cm3) = 5.2

***

# 14
Below is a relaxed Y2TeBr crystal, with properties calculated at the GGA-PBE level.

a b c (Å): 3.731 3.731 7.355
angles (deg): 90.00 90.00 90.00
Fractional positions:
1 Br 0.500 0.500 0.250
2 Te 0.500 0.500 0.750
3 Y 0.000 0.000 0.991
4 Y 0.000 0.000 0.509

Properties
- total magnetic moment (μB/cell) = 0.0
- energy relative to the elements, uncorrected (eV per atom) = -1.01
- density of states at the Fermi level (states/eV/atom) = 1.12
- mass density (g/cm3) = 6.2

***

# 15
Below is a relaxed BeMoPIr crystal, with properties calculated at the GGA-PBE level.

a b c (Å): 3.416 3.011 5.183
angles (deg): 90.00 90.00 90.00
Fractional positions:
1 Ir 0.500 0.500 0.033
2 P 0.000 0.500 0.362
3 Mo 0.000 0.000 0.727
4 Be 0.500 0.000 0.381

Properties
- total magnetic moment (μB/cell) = 0.0
- density of states at the Fermi level (states/eV/atom) = 0.28
- ΔE_f (kJ/mol of atoms) = -22
- mass density (g/cm3) = 10.2

***

# 16
Below is a relaxed CaAlSiAu3 crystal, with properties calculated at the GGA-PBE level.

a b c (Å): 5.954 6.885 7.753
angles (deg): 116.36 90.00 90.00
Fractional positions:
1 Al 0.750 0.955 0.910
2 Al 0.250 0.045 0.090
3 Si 0.750 0.603 0.207
4 Si 0.250 0.397 0.793
5 Ca 0.750 0.301 0.602
6 Ca 0.250 0.699 0.398
7 Au 0.000 0.711 0.000
8 Au 0.500 0.711 0.000
9 Au 0.250 0.224 0.448
10 Au 0.500 0.289 0.000
11 Au 0.000 0.289 0.000
12 Au 0.750 0.776 0.552

Properties
- total magnetic moment (μB/cell) = 0.0
- energy relative to the elements, uncorrected (eV per atom) = -0.34
- density of states at the Fermi level (states/eV/atom) = 0.42
- mass density (g/cm3) = 8.0

***

# 17
Below is a relaxed ZnClF2 crystal, with properties calculated at the GGA-PBE level.

a b c (Å): 9.371 9.371 9.371
angles (deg): 18.98 18.98 18.98
Each line ends with the local moment (μB).
Fractional positions:
1 Zn 0.500 0.500 0.500  0.00
2 F 0.871 0.871 0.871  0.00
3 F 0.129 0.129 0.129  0.00
4 Cl 0.000 0.000 0.000  0.40

Properties
- total magnetic moment (μB/cell) = 0.5
- energy relative to the elements, uncorrected (eV per atom) = -1.47
- density of states at the Fermi level (states/eV/atom) = 0.28
- mass density (g/cm3) = 3.0